one.
First-principles (PBE) data for a relaxed Li4Nd3Pd4 crystal, as listed in Alexandria.

Results
Total magnetization = 0.0 μB per cell

Unit cell a=4.101 b=7.557 c=8.393 alpha=116.76 beta=104.14 gamma=90.00
Sites, in units of the cell vectors:
Pd 0.500 0.807 0.000
Pd 0.500 0.193 0.000
Pd 0.220 0.720 0.440
Pd 0.780 0.280 0.560
Nd 0.125 0.125 0.249
Nd 0.000 0.500 0.000
Nd 0.875 0.875 0.751
Li 0.676 0.486 0.351
Li 0.324 0.514 0.649
Li 0.676 0.866 0.351
Li 0.324 0.134 0.649

***

two.
First-principles (PBE) data for a relaxed Li4Nd3Pd4 crystal, as listed in Alexandria.

Results
Total magnetization = 0.0 μB per cell

Unit cell a=6.583 b=6.583 c=6.583 alpha=109.47 beta=109.47 gamma=109.47
Sites, in units of the cell vectors:
Nd 0.500 0.500 0.000
Nd 0.000 0.500 0.500
Nd 0.500 0.000 0.500
Li 0.000 0.241 0.000
Li 0.759 0.759 0.759
Li 0.241 0.000 0.000
Li 0.000 0.000 0.241
Pd 0.000 0.599 0.000
Pd 0.000 0.000 0.599
Pd 0.401 0.401 0.401
Pd 0.599 0.000 0.000

***

Most favorable structure: one. The second most favorable one is 126 meV/atom above it.

***

one.
First-principles (PBE) data for a relaxed LiNdPdPt crystal, as listed in Alexandria.

Results
Total magnetization = 0.0 μB per cell

Unit cell a=4.381 b=4.383 c=5.395 alpha=113.93 beta=90.00 gamma=119.98
Sites, in units of the cell vectors:
Pt 0.832 0.663 0.137
Li 0.120 0.241 0.003
Pd 0.401 0.801 0.843
Nd 0.614 0.228 0.484

***

two.
First-principles (PBE) data for a relaxed LiNdPdPt crystal, as listed in Alexandria.

Results
Total magnetization = 0.0 μB per cell

Unit cell a=4.814 b=4.814 c=4.814 alpha=60.00 beta=60.00 gamma=60.00
Sites, in units of the cell vectors:
Pt 0.750 0.750 0.750
Nd 0.000 0.000 0.000
Li 0.500 0.500 0.500
Pd 0.250 0.250 0.250

***

Most favorable structure: one. The second most favorable one is 41 meV/atom above it.

***

one.
First-principles (PBE) data for a relaxed LiPmNd2 crystal, as listed in Alexandria.

Results
Total magnetization = 0.0 μB per cell

Unit cell a=3.685 b=3.685 c=9.228 alpha=90.00 beta=90.00 gamma=90.00
Sites, in units of the cell vectors:
Nd 0.000 0.000 0.225
Nd 0.000 0.000 0.775
Li 0.500 0.500 0.000
Pm 0.500 0.500 0.500

***

two.
First-principles (PBE) data for a relaxed LiPmNd2 crystal, as listed in Alexandria.

Results
Total magnetization = 0.0 μB per cell

Unit cell a=5.646 b=5.646 c=5.646 alpha=60.00 beta=60.00 gamma=60.00
Sites, in units of the cell vectors:
Nd 0.250 0.250 0.250
Nd 0.750 0.750 0.750
Pm 0.000 0.000 0.000
Li 0.500 0.500 0.500

***

Most favorable structure: one. The second most favorable one is 121 meV/atom above it.